i) {
  "formula": "Sr3CdCu",
  "functional": "PBE",
  "state": "optimized geometry",
  "density_kg_m3": 3539,
  "n_ef_per_ev_fu": 4.03,
  "lattice": [[5.905, 0.000, 0.000], [0.000, 5.905, 0.000], [0.000, 0.000, 5.905]],
  "species": ["Sr", "Cu", "Sr", "Sr", "Cd"],
  "fractional_positions": [[0.500, 0.000, 0.000], [0.000, 0.000, 0.000], [0.000, 0.500, 0.000], [0.000, 0.000, 0.500], [0.500, 0.500, 0.500]]
}

ii) {
  "formula": "Sr3CdCu",
  "functional": "PBE",
  "state": "optimized geometry",
  "density_kg_m3": 3954,
  "n_ef_per_ev_fu": 3.93,
  "lattice": [[2.175, 9.099, -0.313], [-2.175, 9.099, -0.313], [0.000, 0.548, 9.293]],
  "species": ["Cd", "Sr", "Sr", "Cu", "Sr", "Cu", "Cd", "Sr", "Sr", "Sr"],
  "fractional_positions": [[0.100, 0.100, 0.925], [0.108, 0.108, 0.556], [0.549, 0.549, 0.191], [0.277, 0.277, 0.544], [0.254, 0.254, 0.197], [0.723, 0.723, 0.456], [0.900, 0.900, 0.075], [0.451, 0.451, 0.809], [0.892, 0.892, 0.444], [0.746, 0.746, 0.803]]
}

Least stable: i)

i) {
  "formula": "Sr4CdCu",
  "functional": "PBE",
  "state": "optimized geometry",
  "density_kg_m3": 3868,
  "n_ef_per_ev_fu": 4.77,
  "lattice": [[-2.595, 1.012, 2.853], [1.298, -3.023, 2.253], [9.749, 8.540, 5.840]],
  "species": ["Sr", "Sr", "Sr", "Sr", "Cu", "Cd"],
  "fractional_positions": [[0.000, 0.000, 0.627], [0.500, 0.500, 0.857], [0.000, 0.000, 0.373], [0.500, 0.500, 0.143], [0.500, 0.500, 0.500], [0.000, 0.000, 0.000]]
}

ii) {
  "formula": "Sr4CdCu",
  "functional": "PBE",
  "state": "optimized geometry",
  "density_kg_m3": 3218,
  "n_ef_per_ev_fu": 8.99,
  "lattice": [[0.000, 5.140, 5.140], [5.140, 0.000, 5.140], [5.140, 5.140, 0.000]],
  "species": ["Cd", "Sr", "Sr", "Sr", "Sr", "Cu"],
  "fractional_positions": [[0.750, 0.750, 0.750], [0.875, 0.375, 0.375], [0.375, 0.375, 0.875], [0.375, 0.375, 0.375], [0.375, 0.875, 0.375], [0.000, 0.000, 0.000]]
}

Least stable: ii)

i) {
  "formula": "TaCd2Cu",
  "functional": "PBE",
  "state": "optimized geometry",
  "density_kg_m3": 10785,
  "n_ef_per_ev_fu": 3.19,
  "lattice": [[9.887, 0.019, 0.011], [9.448, 2.912, 0.011], [9.448, 1.432, 2.536]],
  "species": ["Cd", "Ta", "Cu", "Cd"],
  "fractional_positions": [[0.994, 0.994, 0.994], [0.750, 0.750, 0.750], [0.250, 0.250, 0.250], [0.506, 0.506, 0.506]]
}

ii) {
  "formula": "TaCd2Cu",
  "functional": "PBE",
  "state": "optimized geometry",
  "density_kg_m3": 10735,
  "n_ef_per_ev_fu": 1.56,
  "lattice": [[-2.720, 2.630, 2.035], [0.786, -1.123, 2.502], [4.684, 3.488, 1.752]],
  "species": ["Cd", "Cu", "Ta", "Cd"],
  "fractional_positions": [[0.500, 0.435, 0.254], [0.000, 0.296, 0.535], [0.500, 0.705, 0.714], [0.000, 0.064, 0.996]]
}

Least stable: ii)

i) {
  "formula": "TaCd2Cu",
  "functional": "PBE",
  "state": "optimized geometry",
  "density_kg_m3": 10739,
  "n_ef_per_ev_fu": 3.35,
  "lattice": [[5.073, -0.026, 0.000], [1.619, 4.808, 0.000], [-3.346, -2.391, 2.970]],
  "species": ["Cu", "Cd", "Ta", "Cd"],
  "fractional_positions": [[0.250, 0.750, 0.500], [0.500, 0.500, 0.000], [0.750, 0.250, 0.500], [0.000, 0.000, 0.000]]
}

ii) {
  "formula": "TaCd2Cu",
  "functional": "PBE",
  "state": "optimized geometry",
  "density_kg_m3": 10602,
  "n_ef_per_ev_fu": 2.14,
  "lattice": [[-1.827, -3.622, 4.148], [-3.617, -4.018, 2.104], [1.539, -5.159, -0.347]],
  "species": ["Cd", "Cd", "Ta", "Cu"],
  "fractional_positions": [[0.993, 0.993, 0.932], [0.759, 0.759, 0.820], [0.236, 0.236, 0.349], [0.511, 0.511, 0.399]]
}

Least stable: i)

i) {
  "formula": "TaCd2Cu",
  "functional": "PBE",
  "state": "optimized geometry",
  "density_kg_m3": 10619,
  "n_ef_per_ev_fu": 2.06,
  "lattice": [[-1.665, 0.980, -5.022], [-1.602, -4.787, 1.865], [-2.300, 1.155, 0.988]],
  "species": ["Cd", "Cd", "Cu", "Ta"],
  "fractional_positions": [[0.000, 0.000, 0.000], [0.500, 0.500, 0.000], [0.500, 0.000, 0.500], [0.000, 0.500, 0.500]]
}

ii) {
  "formula": "TaCd2Cu",
  "functional": "PBE",
  "state": "optimized geometry",
  "density_kg_m3": 10828,
  "n_ef_per_ev_fu": 2.48,
  "lattice": [[4.514, 0.000, 0.000], [0.000, 2.838, 0.013], [0.000, 1.196, 5.624]],
  "species": ["Cu", "Cd", "Ta", "Cd"],
  "fractional_positions": [[0.500, 0.250, 0.250], [0.000, 0.095, 0.011], [0.500, 0.750, 0.750], [0.000, 0.405, 0.489]]
}

iii) {
  "formula": "TaCd2Cu",
  "functional": "PBE",
  "state": "optimized geometry",
  "density_kg_m3": 10998,
  "n_ef_per_ev_fu": 1.72,
  "lattice": [[-2.862, 0.432, 0.558], [-0.690, -1.209, -2.598], [-0.419, -7.339, 3.527]],
  "species": ["Ta", "Cd", "Cd", "Cu"],
  "fractional_positions": [[0.500, 0.500, 0.750], [0.000, 0.000, 0.478], [0.000, 0.000, 0.022], [0.500, 0.500, 0.250]]
}

Least stable: i)

i) {
  "formula": "TaCd2Cu",
  "functional": "PBE",
  "state": "optimized geometry",
  "density_kg_m3": 10766,
  "n_ef_per_ev_fu": 2.25,
  "lattice": [[-3.430, -3.032, 0.961], [-1.267, -0.769, 4.437], [-4.128, 1.555, 1.556]],
  "species": ["Cd", "Ta", "Cd", "Cu"],
  "fractional_positions": [[0.750, 0.750, 0.750], [0.500, 0.500, 0.500], [0.250, 0.250, 0.250], [0.000, 0.000, 0.000]]
}

ii) {
  "formula": "TaCd2Cu",
  "functional": "PBE",
  "state": "optimized geometry",
  "density_kg_m3": 10826,
  "n_ef_per_ev_fu": 2.01,
  "lattice": [[2.976, 0.000, 0.000], [0.000, 2.976, 0.000], [0.000, 0.000, 8.126]],
  "species": ["Ta", "Cu", "Cd", "Cd"],
  "fractional_positions": [[0.500, 0.500, 0.717], [0.000, 0.000, 0.509], [0.000, 0.000, 0.991], [0.500, 0.500, 0.283]]
}

Least stable: i)

i) {
  "formula": "TaCd2Cu",
  "functional": "PBE",
  "state": "optimized geometry",
  "density_kg_m3": 10887,
  "n_ef_per_ev_fu": 1.82,
  "lattice": [[4.663, -0.002, 0.000], [0.017, 4.663, 0.000], [-2.340, -2.331, 3.292]],
  "species": ["Cu", "Cd", "Cd", "Ta"],
  "fractional_positions": [[0.500, 0.500, 0.000], [0.250, 0.750, 0.500], [0.000, 0.000, 0.000], [0.750, 0.250, 0.500]]
}

ii) {
  "formula": "TaCd2Cu",
  "functional": "PBE",
  "state": "optimized geometry",
  "density_kg_m3": 10916,
  "n_ef_per_ev_fu": 2.16,
  "lattice": [[5.784, -0.006, 0.027], [5.073, 2.777, 0.027], [2.096, 0.535, 4.447]],
  "species": ["Cd", "Cd", "Ta", "Cu"],
  "fractional_positions": [[0.478, 0.478, 0.522], [0.022, 0.022, 0.978], [0.250, 0.250, 0.250], [0.750, 0.750, 0.750]]
}

Least stable: i)

i) {
  "formula": "TaCdCu",
  "functional": "PBE",
  "state": "optimized geometry",
  "density_kg_m3": 11724,
  "n_ef_per_ev_fu": 2.44,
  "lattice": [[6.328, 0.011, -0.011], [5.656, 2.838, 0.020], [0.672, 0.129, 2.824]],
  "species": ["Cu", "Cd", "Ta"],
  "fractional_positions": [[0.671, 0.671, 0.329], [0.011, 0.011, 0.989], [0.318, 0.318, 0.682]]
}

ii) {
  "formula": "TaCdCu",
  "functional": "PBE",
  "state": "optimized geometry",
  "density_kg_m3": 11502,
  "n_ef_per_ev_fu": 2.11,
  "lattice": [[-1.588, -0.042, 2.401], [2.401, -0.063, 1.587], [0.127, 12.432, 0.301]],
  "species": ["Ta", "Cu", "Ta", "Cd", "Cd", "Cu"],
  "fractional_positions": [[0.000, 0.500, 0.908], [0.000, 0.500, 0.242], [0.500, 0.000, 0.092], [0.000, 0.500, 0.602], [0.500, 0.000, 0.398], [0.500, 0.000, 0.758]]
}

Least stable: i)

i) {
  "formula": "TbCd3Cu8",
  "functional": "PBE",
  "state": "optimized geometry",
  "density_kg_m3": 9007,
  "n_ef_per_ev_fu": 5.22,
  "lattice": [[4.848, 0.000, 1.463], [2.203, 4.318, 1.463], [-0.023, -0.014, 8.837]],
  "species": ["Cu", "Cu", "Cu", "Cu", "Cu", "Cd", "Cd", "Cu", "Tb", "Cu", "Cu", "Cd"],
  "fractional_positions": [[0.439, 0.939, 0.183], [0.937, 0.436, 0.689], [0.187, 0.187, 0.438], [0.688, 0.688, 0.936], [0.439, 0.439, 0.183], [0.003, 0.003, 0.991], [0.374, 0.374, 0.877], [0.436, 0.937, 0.689], [0.875, 0.875, 0.374], [0.939, 0.439, 0.183], [0.937, 0.937, 0.689], [0.495, 0.495, 0.515]]
}

ii) {
  "formula": "TbCd3Cu8",
  "functional": "PBE",
  "state": "optimized geometry",
  "density_kg_m3": 9007,
  "n_ef_per_ev_fu": 6.22,
  "lattice": [[-0.550, -1.090, 4.958], [0.667, -3.766, -3.384], [8.121, 0.525, 1.017]],
  "species": ["Cu", "Cu", "Cd", "Cd", "Cd", "Cu", "Cu", "Cu", "Cu", "Cu", "Tb", "Cu"],
  "fractional_positions": [[0.502, 0.005, 0.753], [0.333, 0.667, 0.997], [0.667, 0.333, 0.059], [0.667, 0.333, 0.426], [0.000, 0.000, 0.951], [0.166, 0.333, 0.248], [0.166, 0.834, 0.248], [0.333, 0.667, 0.501], [0.502, 0.498, 0.753], [0.995, 0.498, 0.753], [0.000, 0.000, 0.563], [0.667, 0.834, 0.248]]
}

Least stable: ii)

i) {
  "formula": "Cd2CuTc",
  "functional": "PBE",
  "state": "optimized geometry",
  "density_kg_m3": 9530,
  "n_ef_per_ev_fu": 2.14,
  "lattice": [[4.011, 0.000, 0.000], [0.000, 2.794, 0.309], [0.000, 2.115, 6.241]],
  "species": ["Cd", "Tc", "Cd", "Cu"],
  "fractional_positions": [[0.000, 0.996, 0.007], [0.500, 0.750, 0.750], [0.000, 0.504, 0.493], [0.500, 0.250, 0.250]]
}

ii) {
  "formula": "Cd2CuTc",
  "functional": "PBE",
  "state": "optimized geometry",
  "density_kg_m3": 9483,
  "n_ef_per_ev_fu": 2.17,
  "lattice": [[4.985, -0.005, 0.000], [1.654, 4.703, 0.000], [-3.319, -2.349, 2.884]],
  "species": ["Cu", "Cd", "Tc", "Cd"],
  "fractional_positions": [[0.250, 0.750, 0.500], [0.000, 0.000, 0.000], [0.750, 0.250, 0.500], [0.500, 0.500, 0.000]]
}

Least stable: ii)

i) {
  "formula": "Cd2CuTc",
  "functional": "PBE",
  "state": "optimized geometry",
  "density_kg_m3": 9540,
  "n_ef_per_ev_fu": 2.60,
  "lattice": [[4.118, 0.000, 0.000], [0.000, 4.118, 0.000], [0.000, 0.000, 3.965]],
  "species": ["Cd", "Cu", "Cd", "Tc"],
  "fractional_positions": [[0.000, 0.000, 0.000], [0.500, 0.000, 0.500], [0.500, 0.500, 0.000], [0.000, 0.500, 0.500]]
}

ii) {
  "formula": "Cd2CuTc",
  "functional": "PBE",
  "state": "optimized geometry",
  "density_kg_m3": 9531,
  "n_ef_per_ev_fu": 1.85,
  "lattice": [[5.057, 0.017, 0.039], [4.289, 2.678, 0.039], [1.075, 0.310, 5.005]],
  "species": ["Tc", "Cu", "Cd", "Cd"],
  "fractional_positions": [[0.250, 0.250, 0.250], [0.750, 0.750, 0.750], [0.011, 0.011, 0.996], [0.489, 0.489, 0.504]]
}

iii) {
  "formula": "Cd2CuTc",
  "functional": "PBE",
  "state": "optimized geometry",
  "density_kg_m3": 9567,
  "n_ef_per_ev_fu": 1.74,
  "lattice": [[9.516, 0.004, 0.002], [9.081, 2.845, 0.002], [9.081, 1.391, 2.482]],
  "species": ["Cd", "Tc", "Cd", "Cu"],
  "fractional_positions": [[0.997, 0.997, 0.997], [0.750, 0.750, 0.750], [0.503, 0.503, 0.503], [0.250, 0.250, 0.250]]
}

iv) {
  "formula": "Cd2CuTc",
  "functional": "PBE",
  "state": "optimized geometry",
  "density_kg_m3": 9441,
  "n_ef_per_ev_fu": 4.03,
  "lattice": [[-1.392, -1.070, 4.000], [2.459, -1.175, 0.541], [3.234, 4.247, 2.262]],
  "species": ["Tc", "Cd", "Cd", "Cu"],
  "fractional_positions": [[0.500, 0.701, 0.724], [0.500, 0.379, 0.259], [0.000, 0.033, 0.988], [0.000, 0.387, 0.529]]
}

Least stable: ii)

i) {
  "formula": "CdCuTc",
  "functional": "PBE",
  "state": "optimized geometry",
  "density_kg_m3": 8515,
  "n_ef_per_ev_fu": 0.44,
  "lattice": [[4.228, 0.000, 0.000], [2.114, 3.661, 0.000], [2.114, 1.220, 3.452]],
  "species": ["Cd", "Tc", "Cu"],
  "fractional_positions": [[0.500, 0.500, 0.500], [0.000, 0.000, 0.000], [0.750, 0.750, 0.750]]
}

ii) {
  "formula": "CdCuTc",
  "functional": "PBE",
  "state": "optimized geometry",
  "density_kg_m3": 9728,
  "n_ef_per_ev_fu": 2.54,
  "lattice": [[-0.567, -1.770, -2.077], [0.677, -0.979, 2.520], [-6.710, 0.025, 1.811]],
  "species": ["Tc", "Cu", "Cd"],
  "fractional_positions": [[0.667, 0.333, 0.647], [0.333, 0.667, 0.345], [0.000, 0.000, 0.007]]
}

Least stable: i)